No. 1
PBE La3AuC, optimized geometry; E_tot = -5.811 eV per atom; SG = No. 161; energy above the most stable polymorph in this dataset = 27 meV/atom; ΔH_f (0 K) = -354 meV/atom
1.0
-0.8314 -3.0667 6.4500
2.9342 -6.4555 1.1897
5.6805 -0.4881 4.3809
La Au C
6 2 2
direct
0.8309 0.6617 0.2462 La
0.2462 0.8309 0.6617 La
0.1617 0.3309 0.7462 La
0.3309 0.7462 0.1617 La
0.7462 0.1617 0.3309 La
0.6617 0.2462 0.8309 La
0.2466 0.2466 0.2466 Au
0.7466 0.7466 0.7466 Au
0.9962 0.9962 0.9962 C
0.4962 0.4962 0.4962 C

***

No. 2
PBE Rb3TlNi, optimized geometry; E_tot = -1.663 eV per atom; SG = No. 221; ΔH_f (0 K) = 547 meV/atom
1.0
-2.1538 3.1568 -5.1702
-1.0020 -5.5973 -3.0002
-5.9743 -0.1993 2.3671
Ni Rb Tl
1 3 1
direct
0.0000 0.0000 0.0000 Ni
0.0000 0.5000 0.0000 Rb
0.5000 0.0000 0.0000 Rb
0.0000 0.0000 0.5000 Rb
0.5000 0.5000 0.5000 Tl